No. 1
A geometry-optimized Mo4S structure, computed with PBE.

a = 4.3883 Å, b = 4.3883 Å, c = 4.3883 Å
α = 90.00°, β = 90.00°, γ = 90.00°
With the nearest neighbours (Å) after each atom.
Fractional positions:
1 Mo 0.0000 0.0000 0.0000  12 Mo 3.10
2 Mo 0.0000 0.5000 0.5000  2 S 2.19
3 Mo 0.5000 0.0000 0.5000  2 S 2.19
4 Mo 0.5000 0.5000 0.0000  2 S 2.19
5 S 0.5000 0.5000 0.5000  6 Mo 2.19

Summary:
**Space-group type**: Pm-3m (221)


No. 2
A geometry-optimized Mo3S4 structure, computed with PBE.

a = 6.4958 Å, b = 6.4958 Å, c = 6.4958 Å
α = 91.25°, β = 91.25°, γ = 91.25°
With the nearest neighbours (Å) after each atom.
Fractional positions:
1 Mo 0.2126 0.5513 0.4053  5 S 2.43-2.45
2 Mo 0.4053 0.2126 0.5513  5 S 2.43-2.45
3 Mo 0.4487 0.5947 0.7874  5 S 2.43-2.45
4 Mo 0.5513 0.4053 0.2126  5 S 2.43-2.45
5 Mo 0.5947 0.7874 0.4487  5 S 2.43-2.45
6 Mo 0.7874 0.4487 0.5947  5 S 2.43-2.45
7 S 0.1318 0.3894 0.7326  4 Mo 2.43-2.45
8 S 0.2220 0.2220 0.2220  3 Mo 2.43
9 S 0.2674 0.8682 0.6106  4 Mo 2.43-2.45
10 S 0.3894 0.7326 0.1318  4 Mo 2.43-2.45
11 S 0.6106 0.2674 0.8682  4 Mo 2.43-2.45
12 S 0.7326 0.1318 0.3894  4 Mo 2.43-2.45
13 S 0.7780 0.7780 0.7780  3 Mo 2.43
14 S 0.8682 0.6106 0.2674  4 Mo 2.43-2.45

Summary:
**Space-group type**: R-3 (148)


Number 1: total DFT energy (no corrections) -8.860 eV per atom, E_form (uncorrected) 0.630 eV/atom. Number 2: total DFT energy (no corrections) -7.688 eV per atom, E_form (uncorrected) -0.688 eV/atom.